Compound: Cs3Mn2TlF9
Source: Alexandria
Functional: GGA+U
Structure: relaxed

POSCAR file:
```
Cs3Mn2TlF9
1.0
6.386 0.000 0.000
-3.193 5.530 0.000
0.000 0.000 7.924
Cs Mn Tl F
3 2 1 9
direct
0.000 0.000 0.000 Cs
0.333 0.667 0.662 Cs
0.667 0.333 0.338 Cs
0.333 0.667 0.149 Mn
0.667 0.333 0.851 Mn
0.000 0.000 0.500 Tl
0.000 0.500 0.000 F
0.183 0.367 0.302 F
0.183 0.817 0.302 F
0.367 0.183 0.698 F
0.500 0.000 0.000 F
0.500 0.500 0.000 F
0.633 0.817 0.302 F
0.817 0.183 0.698 F
0.817 0.633 0.698 F
```

* space-group type: P-3m1, No. 164
* uncorrected energy: -5.02 eV/atom
* density of states at the Fermi level: 3.35 states/eV/f.u.
* density: 5.25 g/cm³